The following is a DFT calculation (PBE) of a geometry-optimized CaCuSbTe3 structure.

Cell and atoms, written as POSCAR:
```
CaCuSbTe3
1.0
4.2836 0.0000 0.0000
0.0000 8.9495 1.3421
0.0000 -3.0572 8.9004
Te Cu Ca Sb
6 2 2 2
Direct
0.7500 0.2294 0.5134
0.2500 0.7706 0.4866
0.7500 0.8941 0.1249
0.2500 0.1059 0.8751
0.7500 0.4169 0.1734
0.2500 0.5831 0.8266
0.2500 0.0652 0.5689
0.7500 0.9348 0.4311
0.7500 0.8398 0.7460
0.2500 0.1602 0.2540
0.2500 0.6606 0.1509
0.7500 0.3394 0.8491
```

## Properties
Its final energy is -3.83 eV/atom.